Here is a relaxed structure of SrCaP from Alexandria via LeMat-Bulk. Energies are from PBE-GGA.

extended XYZ file:
```
6
Lattice="7.252 0.000 0.000 0.000 4.327 0.000 -0.361 0.000 7.490" Properties=species:S:1:pos:R:3 pbc="T T T"
Sr 1.578 1.082 0.706
Sr 5.313 3.246 6.783
Ca 1.202 3.246 4.433
Ca 5.689 1.082 3.057
P -0.247 1.082 5.571
P 7.138 3.246 1.919
```

Energy relative to the elements = -0.847 eV/atom